First-principles (PBEsol) data for a relaxed HgSb5 crystal, as listed in the Alexandria database.

Cell and atoms, written as CIF:
```
data_HgSb5
_space_group_name_H-M_alt 'P 1'
_space_group_IT_number 1
_cell_length_a 6.854
_cell_length_b 6.854
_cell_length_c 6.036
_cell_angle_alpha 90.00
_cell_angle_beta 90.00
_cell_angle_gamma 143.60
loop_
_space_group_symop_operation_xyz
'x,y,z'
loop_
_atom_site_label
_atom_site_type_symbol
_atom_site_fract_x
_atom_site_fract_y
_atom_site_fract_z
Hg1 Hg 0.000 0.000 0.000
Sb1 Sb 0.000 0.000 0.500
Sb2 Sb 0.329 0.671 0.000
Sb3 Sb 0.333 0.667 0.500
Sb4 Sb 0.667 0.333 0.500
Sb5 Sb 0.671 0.329 0.000
```

Output
- SG = Cmmm, No. 65
- total magnetic moment (μB/f.u.) = 0.000
- uncorrected energy (eV per cell) = -23.17
- raw formation energy (eV per atom) = 0.030

First-principles (PBEsol) data for a relaxed HgSb2 crystal, as listed in the Alexandria database.

Cell and atoms, written as CIF:
```
data_HgSb2
_space_group_name_H-M_alt 'P 1'
_space_group_IT_number 1
_cell_length_a 6.189
_cell_length_b 6.189
_cell_length_c 6.189
_cell_angle_alpha 60.00
_cell_angle_beta 60.00
_cell_angle_gamma 60.00
loop_
_space_group_symop_operation_xyz
'x,y,z'
loop_
_atom_site_label
_atom_site_type_symbol
_atom_site_fract_x
_atom_site_fract_y
_atom_site_fract_z
Hg1 Hg 0.125 0.125 0.125
Hg2 Hg 0.875 0.875 0.875
Sb1 Sb 0.000 0.500 0.500
Sb2 Sb 0.500 0.000 0.500
Sb3 Sb 0.500 0.500 0.000
Sb4 Sb 0.500 0.500 0.500
```

Output
- SG = Fd-3m, No. 227
- total magnetic moment (μB/f.u.) = 0.000
- ΔE to the lowest computed polymorph (meV per atom) = 203
- uncorrected energy (eV per cell) = -18.00
- raw formation energy (eV per atom) = 0.226

First-principles (PBEsol) data for a relaxed HgSb3 crystal, as listed in the Alexandria database.

Cell and atoms, written as CIF:
```
data_HgSb3
_space_group_name_H-M_alt 'P 1'
_space_group_IT_number 1
_cell_length_a 6.101
_cell_length_b 6.101
_cell_length_c 3.155
_cell_angle_alpha 90.00
_cell_angle_beta 90.00
_cell_angle_gamma 118.45
loop_
_space_group_symop_operation_xyz
'x,y,z'
loop_
_atom_site_label
_atom_site_type_symbol
_atom_site_fract_x
_atom_site_fract_y
_atom_site_fract_z
Hg1 Hg 0.000 0.000 0.000
Sb1 Sb 0.000 0.500 0.500
Sb2 Sb 0.500 0.000 0.500
Sb3 Sb 0.500 0.500 0.000
```

Output
- SG = Cmmm, No. 65
- total magnetic moment (μB/f.u.) = 0.000
- ΔE to the lowest computed polymorph (meV per atom) = 115
- uncorrected energy (eV per cell) = -13.41
- raw formation energy (eV per atom) = 0.208

First-principles (PBEsol) data for a relaxed HgSb3 crystal, as listed in the Alexandria database.

Cell and atoms, written as CIF:
```
data_HgSb3
_space_group_name_H-M_alt 'P 1'
_space_group_IT_number 1
_cell_length_a 3.223
_cell_length_b 6.001
_cell_length_c 5.456
_cell_angle_alpha 90.00
_cell_angle_beta 90.00
_cell_angle_gamma 90.00
loop_
_space_group_symop_operation_xyz
'x,y,z'
loop_
_atom_site_label
_atom_site_type_symbol
_atom_site_fract_x
_atom_site_fract_y
_atom_site_fract_z
Hg1 Hg 0.000 0.000 0.000
Sb1 Sb 0.000 0.500 0.002
Sb2 Sb 0.500 0.000 0.500
Sb3 Sb 0.500 0.500 0.502
```

Output
- SG = Pmm2, No. 25
- total magnetic moment (μB/f.u.) = 0.000
- ΔE to the lowest computed polymorph (meV per atom) = 0
- uncorrected energy (eV per cell) = -13.87
- raw formation energy (eV per atom) = 0.093

First-principles (PBEsol) data for a relaxed Sc2HgSb crystal, as listed in the Alexandria database.

Cell and atoms, written as CIF:
```
data_Sc2HgSb
_space_group_name_H-M_alt 'P 1'
_space_group_IT_number 1
_cell_length_a 5.223
_cell_length_b 5.223
_cell_length_c 5.223
_cell_angle_alpha 128.20
_cell_angle_beta 128.20
_cell_angle_gamma 76.31
loop_
_space_group_symop_operation_xyz
'x,y,z'
loop_
_atom_site_label
_atom_site_type_symbol
_atom_site_fract_x
_atom_site_fract_y
_atom_site_fract_z
Sc1 Sc 0.250 0.750 0.500
Sc2 Sc 0.750 0.250 0.500
Hg1 Hg 0.000 0.000 0.000
Sb1 Sb 0.500 0.500 0.000
```

Output
- SG = I4/mmm, No. 139
- total magnetic moment (μB/f.u.) = 1.068
- uncorrected energy (eV per cell) = -20.79
- raw formation energy (eV per atom) = -0.615

First-principles (PBEsol) data for a relaxed ScHg2Sb crystal, as listed in the Alexandria database.

Cell and atoms, written as CIF:
```
data_ScHg2Sb
_space_group_name_H-M_alt 'P 1'
_space_group_IT_number 1
_cell_length_a 5.649
_cell_length_b 5.649
_cell_length_c 5.649
_cell_angle_alpha 135.69
_cell_angle_beta 134.62
_cell_angle_gamma 65.29
loop_
_space_group_symop_operation_xyz
'x,y,z'
loop_
_atom_site_label
_atom_site_type_symbol
_atom_site_fract_x
_atom_site_fract_y
_atom_site_fract_z
Sc1 Sc 0.000 0.000 0.000
Hg1 Hg 0.504 0.504 0.000
Hg2 Hg 0.757 0.257 0.500
Sb1 Sb 0.247 0.747 0.500
```

Output
- SG = Imm2, No. 44
- total magnetic moment (μB/f.u.) = 0.000
- uncorrected energy (eV per cell) = -13.58
- raw formation energy (eV per atom) = -0.321

First-principles (PBEsol) data for a relaxed ScHg2Sb crystal, as listed in the Alexandria database.

Cell and atoms, written as CIF:
```
data_ScHg2Sb
_space_group_name_H-M_alt 'P 1'
_space_group_IT_number 1
_cell_length_a 3.849
_cell_length_b 3.849
_cell_length_c 6.170
_cell_angle_alpha 90.00
_cell_angle_beta 90.00
_cell_angle_gamma 90.00
loop_
_space_group_symop_operation_xyz
'x,y,z'
loop_
_atom_site_label
_atom_site_type_symbol
_atom_site_fract_x
_atom_site_fract_y
_atom_site_fract_z
Sc1 Sc 0.000 0.000 0.000
Hg1 Hg 0.000 0.000 0.501
Hg2 Hg 0.500 0.500 0.287
Sb1 Sb 0.500 0.500 0.809
```

Output
- SG = P4mm, No. 99
- total magnetic moment (μB/f.u.) = 0.000
- uncorrected energy (eV per cell) = -13.65
- raw formation energy (eV per atom) = -0.339

First-principles (PBEsol) data for a relaxed ScHgSb2 crystal, as listed in the Alexandria database.

Cell and atoms, written as CIF:
```
data_ScHgSb2
_space_group_name_H-M_alt 'P 1'
_space_group_IT_number 1
_cell_length_a 5.298
_cell_length_b 5.298
_cell_length_c 3.299
_cell_angle_alpha 90.00
_cell_angle_beta 90.00
_cell_angle_gamma 90.00
loop_
_space_group_symop_operation_xyz
'x,y,z'
loop_
_atom_site_label
_atom_site_type_symbol
_atom_site_fract_x
_atom_site_fract_y
_atom_site_fract_z
Sc1 Sc 0.000 0.000 0.000
Hg1 Hg 0.500 0.500 0.000
Sb1 Sb 0.000 0.500 0.500
Sb2 Sb 0.500 0.000 0.500
```

Output
- SG = P4/mmm, No. 123
- total magnetic moment (μB/f.u.) = 0.000
- uncorrected energy (eV per cell) = -17.55
- raw formation energy (eV per atom) = -0.315

First-principles (PBEsol) data for a relaxed HgSbSe crystal, as listed in the Alexandria database.

Cell and atoms, written as CIF:
```
data_HgSbSe
_space_group_name_H-M_alt 'P 1'
_space_group_IT_number 1
_cell_length_a 3.977
_cell_length_b 3.977
_cell_length_c 5.441
_cell_angle_alpha 90.00
_cell_angle_beta 90.00
_cell_angle_gamma 120.00
loop_
_space_group_symop_operation_xyz
'x,y,z'
loop_
_atom_site_label
_atom_site_type_symbol
_atom_site_fract_x
_atom_site_fract_y
_atom_site_fract_z
Hg1 Hg 0.000 0.000 0.000
Sb1 Sb 0.333 0.667 0.654
Se1 Se 0.667 0.333 0.328
```

Output
- SG = P3m1, No. 156
- total magnetic moment (μB/f.u.) = 0.000
- uncorrected energy (eV per cell) = -9.03
- raw formation energy (eV per atom) = -0.020

First-principles (PBEsol) data for a relaxed HgSb2Se2 crystal, as listed in the Alexandria database.

Cell and atoms, written as CIF:
```
data_HgSb2Se2
_space_group_name_H-M_alt 'P 1'
_space_group_IT_number 1
_cell_length_a 8.166
_cell_length_b 8.166
_cell_length_c 3.633
_cell_angle_alpha 90.00
_cell_angle_beta 90.00
_cell_angle_gamma 90.00
loop_
_space_group_symop_operation_xyz
'x,y,z'
loop_
_atom_site_label
_atom_site_type_symbol
_atom_site_fract_x
_atom_site_fract_y
_atom_site_fract_z
Hg1 Hg 0.000 0.000 0.000
Hg2 Hg 0.500 0.500 0.000
Sb1 Sb 0.153 0.347 0.500
Sb2 Sb 0.347 0.847 0.500
Sb3 Sb 0.653 0.153 0.500
Sb4 Sb 0.847 0.653 0.500
Se1 Se 0.155 0.655 0.000
Se2 Se 0.345 0.155 0.000
Se3 Se 0.655 0.845 0.000
Se4 Se 0.845 0.345 0.000
```

Output
- SG = P4/mbm, No. 127
- total magnetic moment (μB/f.u.) = 0.000
- uncorrected energy (eV per cell) = -33.68
- raw formation energy (eV per atom) = 0.108

First-principles (PBEsol) data for a relaxed Si2HgSb crystal, as listed in the Alexandria database.

Cell and atoms, written as CIF:
```
data_Si2HgSb
_space_group_name_H-M_alt 'P 1'
_space_group_IT_number 1
_cell_length_a 4.771
_cell_length_b 4.771
_cell_length_c 4.771
_cell_angle_alpha 109.62
_cell_angle_beta 109.62
_cell_angle_gamma 109.17
loop_
_space_group_symop_operation_xyz
'x,y,z'
loop_
_atom_site_label
_atom_site_type_symbol
_atom_site_fract_x
_atom_site_fract_y
_atom_site_fract_z
Si1 Si 0.000 0.500 0.500
Si2 Si 0.500 0.000 0.500
Hg1 Hg 0.000 0.000 0.000
Sb1 Sb 0.500 0.500 0.000
```

Output
- SG = I4/mmm, No. 139
- total magnetic moment (μB/f.u.) = 0.000
- ΔE to the lowest computed polymorph (meV per atom) = 22
- uncorrected energy (eV per cell) = -15.17
- raw formation energy (eV per atom) = 0.363

First-principles (PBEsol) data for a relaxed SiHgSb crystal, as listed in the Alexandria database.

Cell and atoms, written as CIF:
```
data_SiHgSb
_space_group_name_H-M_alt 'P 1'
_space_group_IT_number 1
_cell_length_a 6.154
_cell_length_b 6.154
_cell_length_c 6.154
_cell_angle_alpha 147.81
_cell_angle_beta 147.81
_cell_angle_gamma 46.16
loop_
_space_group_symop_operation_xyz
'x,y,z'
loop_
_atom_site_label
_atom_site_type_symbol
_atom_site_fract_x
_atom_site_fract_y
_atom_site_fract_z
Si1 Si 0.000 0.000 0.000
Hg1 Hg 0.659 0.659 0.000
Sb1 Sb 0.361 0.361 0.000
```

Output
- SG = I4mm, No. 107
- total magnetic moment (μB/f.u.) = 0.000
- uncorrected energy (eV per cell) = -9.79
- raw formation energy (eV per atom) = 0.359